The following is a PBE calculation of a geometry-optimized Li2SiIr structure, from Alexandria.

Lattice parameters (Å, degrees): 4.462 2.813 4.315 80.61 90.00 90.00
Atoms (fractional coordinates):
Si1 0.500 0.250 0.250
Ir1 0.500 0.750 0.750
Li1 0.000 0.482 0.508
Li2 0.000 0.018 0.992

Output
E_tot, eV per atom: -4.857